Entry 1:
Compound: Mn5Tc3H12
Source: Alexandria
Functional: GGA-PBE
Structure: optimized geometry Values from VASP.

Summary:
magnetic moment	0.897	μB/atom
SG	Ia-3d
calculated volume	592.0	Å³/cell
total DFT energy (no corrections)	-114.03	eV per formula unit

```
&SYSTEM
  ibrav = 0, nat = 80, ntyp = 3
/
ATOMIC_SPECIES
H 1.01 H.upf
Mn 54.94 Mn.upf
Tc 98.00 Tc.upf
ATOMIC_POSITIONS angstrom
H -1.282 -0.011 6.278
H 0.112 3.019 3.148
H 1.772 5.367 0.592
H 2.077 3.714 3.129
H 4.693 7.696 0.448
H 6.353 4.308 1.203
H 1.415 5.619 3.148
H -0.245 3.271 0.592
H 3.604 -0.605 4.352
H -3.604 2.407 5.392
H 4.998 -0.436 1.652
H 2.637 -0.947 2.537
H -0.977 -2.407 5.392
H 1.944 0.947 2.537
H -3.166 6.396 2.700
H -2.637 3.808 4.189
H 4.693 2.242 2.700
H -3.299 0.011 6.278
H 6.658 1.912 2.089
H 2.942 1.300 4.332
H -1.110 -0.511 3.292
H 4.336 4.330 1.203
H -1.639 -3.376 7.032
H 3.471 3.883 5.829
H -1.639 2.077 4.781
H -0.245 5.356 0.611
H 5.558 -3.012 6.440
H -2.504 7.332 1.041
H 4.164 4.830 4.189
H 1.772 3.283 0.611
H -1.944 4.755 5.829
H 3.299 -1.037 6.870
H 0.977 0.605 4.352
H 5.691 0.511 3.292
H -0.417 0.436 1.652
H 1.110 3.372 4.944
H -0.977 3.012 6.440
H 5.996 0.943 0.448
H 1.639 -1.300 4.332
H 0.417 5.266 4.944
H 6.220 -2.077 4.781
H 1.282 1.037 6.870
H 4.031 1.307 1.041
H -0.550 4.924 3.129
H -2.942 3.376 7.032
H 1.282 -1.048 6.889
H 4.031 6.726 2.089
H 3.299 1.048 6.889
Mn 0.000 0.000 0.000
Mn 3.818 3.779 2.805
Mn -1.527 -2.160 3.740
Mn -3.054 2.160 3.740
Mn -0.764 0.540 4.675
Mn -1.527 4.319 0.000
Mn 2.291 6.479 1.870
Mn -0.764 7.018 0.935
Mn 2.291 1.620 0.935
Mn 0.764 -2.160 5.611
Mn 4.581 0.000 0.000
Mn 3.054 4.319 0.000
Mn 3.054 -2.160 3.740
Mn 5.345 -0.540 4.675
Mn 3.818 -2.699 6.546
Mn -2.291 4.859 2.805
Mn -0.764 2.160 1.870
Mn 3.818 2.160 5.611
Mn 0.764 2.699 6.546
Mn 1.527 2.160 3.740
Tc -2.291 -1.620 6.546
Tc 2.291 0.000 5.611
Tc -2.291 1.620 6.546
Tc 0.764 -0.540 2.805
Tc 6.872 0.000 1.870
Tc 5.345 2.699 0.935
Tc 2.291 4.859 4.675
Tc 0.764 4.319 1.870
Tc 3.818 0.540 2.805
Tc -0.764 3.779 4.675
Tc -3.818 4.319 5.611
Tc 5.345 5.939 0.935
CELL_PARAMETERS angstrom
9.162 0.000 0.000
-3.054 8.638 0.000
-3.054 -4.319 7.481
```

Entry 2:
Compound: Hf2MnPd7
Source: Alexandria
Functional: GGA-PBE
Structure: optimized geometry Values from VASP.

Summary:
magnetic moment	0.436	μB/atom
SG	Cmmm
energy of formation	-6	kJ per mole of atoms
calculated volume	185.6	Å³/cell

```
&SYSTEM
  ibrav = 0, nat = 10, ntyp = 3
/
ATOMIC_SPECIES
Pd 106.42 Pd.upf
Hf 178.49 Hf.upf
Mn 54.94 Mn.upf
ATOMIC_POSITIONS angstrom
Pd 1.460 4.577 4.679
Pd 1.460 -0.304 2.269
Pd 0.000 6.256 0.941
Pd 0.000 -1.983 6.008
Pd 1.460 2.162 0.753
Pd 1.460 2.137 3.474
Pd 1.460 2.111 6.196
Hf 1.460 -0.120 4.862
Hf 1.460 4.393 2.086
Mn 0.000 0.000 0.000
CELL_PARAMETERS angstrom
2.920 0.000 0.000
0.000 8.773 -0.608
0.000 -4.500 7.556
```

Entry 3:
Compound: Tb4Pm5Tl2
Source: Alexandria
Functional: GGA-PBE
Structure: optimized geometry Values from VASP.

Summary:
magnetic moment	0.000	μB/atom
SG	P2/m
energy of formation	-3	kJ per mole of atoms
calculated volume	358.0	Å³/cell

```
&SYSTEM
  ibrav = 0, nat = 11, ntyp = 3
/
ATOMIC_SPECIES
Tl 204.38 Tl.upf
Tb 158.93 Tb.upf
Pm 145.00 Pm.upf
ATOMIC_POSITIONS angstrom
Tl -1.590 1.025 8.511
Tl -5.319 4.734 2.001
Tb -4.729 1.481 7.742
Tb -0.945 -1.943 7.456
Tb -8.384 5.039 2.925
Tb -4.599 1.615 2.639
Pm -1.112 0.909 2.053
Pm -4.851 4.150 5.216
Pm 0.666 -0.818 4.309
Pm -2.058 1.609 5.296
Pm -5.797 4.850 8.459
CELL_PARAMETERS angstrom
-2.419 -2.663 -0.131
1.333 -1.635 8.618
-8.242 7.394 1.894
```

Entry 4:
Compound: ZnAg3Ge
Source: Alexandria
Functional: GGA-PBE
Structure: optimized geometry Values from VASP.

Summary:
polymorph energy (0 for the lowest one)	0.000	eV/atom
magnetic moment	0.000	μB/atom
SG	Pm-3m
energy of formation	50	kJ per mole of atoms
calculated volume	119.9	Å³/cell

```
&SYSTEM
  ibrav = 0, nat = 5, ntyp = 3
/
ATOMIC_SPECIES
Ag 107.87 Ag.upf
Zn 65.41 Zn.upf
Ge 72.64 Ge.upf
ATOMIC_POSITIONS angstrom
Ag -0.400 -0.675 2.337
Ag 1.555 1.750 0.772
Ag -1.871 1.599 0.142
Zn -0.716 2.674 3.251
Ge 0.000 0.000 0.000
CELL_PARAMETERS angstrom
-3.741 3.198 0.284
-0.800 -1.351 4.674
3.110 3.501 1.544
```

Entry 5:
Compound: Sb2Te2Se
Source: Alexandria
Functional: GGA-PBE
Structure: optimized geometry Values from VASP.

Summary:
polymorph energy (0 for the lowest one)	0.311	eV/atom
magnetic moment	0.000	μB/atom
SG	I4/mmm
calculated volume	156.4	Å³/cell

```
&SYSTEM
  ibrav = 0, nat = 5, ntyp = 3
/
ATOMIC_SPECIES
Te 127.60 Te.upf
Sb 121.76 Sb.upf
Se 78.96 Se.upf
ATOMIC_POSITIONS angstrom
Te -5.130 -4.756 0.466
Te -1.609 -6.796 -0.609
Sb -4.496 -7.667 -0.171
Sb -2.243 -3.885 0.028
Se 0.000 0.000 0.000
CELL_PARAMETERS angstrom
-5.821 -1.200 -0.311
1.220 -5.280 -2.460
-2.138 -5.072 2.628
```

Entry 6:
Compound: ThZn3Pt2
Source: Alexandria
Functional: GGA-PBE
Structure: optimized geometry Values from VASP.

Summary:
magnetic moment	0.000	μB/atom
SG	C2/m
energy of formation	-67	kJ per mole of atoms
calculated volume	336.4	Å³/cell

```
&SYSTEM
  ibrav = 0, nat = 18, ntyp = 3
/
ATOMIC_SPECIES
Th 232.04 Th.upf
Zn 65.41 Zn.upf
Pt 195.08 Pt.upf
ATOMIC_POSITIONS angstrom
Th 0.000 0.000 0.000
Th 0.000 2.871 6.381
Th 2.046 5.540 1.137
Zn 0.000 3.515 3.003
Zn 0.000 5.376 -1.333
Zn 2.046 2.132 1.562
Zn 2.046 7.581 4.234
Zn 2.046 4.896 4.515
Zn 2.046 0.092 4.969
Zn 0.000 6.279 5.957
Zn 2.046 3.035 8.852
Zn 0.000 0.830 3.285
Pt 0.000 6.027 3.327
Pt 0.000 3.360 0.424
Pt 2.046 0.672 7.737
Pt 2.046 2.384 4.191
Pt 0.000 7.739 -0.218
Pt 2.046 5.052 7.094
CELL_PARAMETERS angstrom
4.092 0.000 0.000
-2.046 8.227 -2.420
0.000 0.184 9.939
```

Entry 7:
Compound: TbSmRh2
Source: Alexandria
Functional: GGA-PBE
Structure: optimized geometry Values from VASP.

Summary:
magnetic moment	0.000	μB/atom
SG	I4/mmm
energy of formation	-75	kJ per mole of atoms
calculated volume	83.6	Å³/cell

```
&SYSTEM
  ibrav = 0, nat = 4, ntyp = 3
/
ATOMIC_SPECIES
Rh 102.91 Rh.upf
Sm 150.36 Sm.upf
Tb 158.93 Tb.upf
ATOMIC_POSITIONS angstrom
Rh -3.709 -3.663 2.990
Rh -5.941 -2.682 5.467
Sm -1.854 -1.832 1.495
Tb -5.563 -5.496 4.484
CELL_PARAMETERS angstrom
-4.699 -0.980 1.033
-1.476 -4.646 0.512
-1.243 -1.702 4.434
```

Entry 8:
Compound: CeNd3Tl
Source: Alexandria
Functional: GGA-PBE
Structure: optimized geometry Values from VASP.

Summary:
magnetic moment	0.093	μB/atom
SG	P-1
energy of formation	-7	kJ per mole of atoms
calculated volume	317.0	Å³/cell

```
&SYSTEM
  ibrav = 0, nat = 10, ntyp = 3
/
ATOMIC_SPECIES
Nd 144.24 Nd.upf
Tl 204.38 Tl.upf
Ce 140.12 Ce.upf
ATOMIC_POSITIONS angstrom
Nd 4.165 -4.027 6.207
Nd -0.071 -1.210 6.890
Nd 3.885 -2.547 9.371
Nd 2.597 -4.167 1.519
Nd 5.271 -7.117 6.682
Nd 6.351 -5.659 10.089
Tl 1.953 -2.441 4.374
Tl 3.246 -5.885 9.198
Ce 3.314 -0.399 6.657
Ce 6.922 -7.807 12.804
CELL_PARAMETERS angstrom
-1.563 -0.132 5.846
5.007 -8.047 2.876
5.037 0.120 5.888
```